DFT (PBE-GGA) results for a geometry-optimized MgBeRh2Br structure.

a b c (Å): 4.680 4.680 4.452
angles (deg): 90.00 90.00 90.00
Fractional coordinates of all 5 atoms:
Mg 0.000 0.000 0.000
Be 0.000 0.000 0.500
Rh 0.000 0.500 0.000
Rh 0.500 0.000 0.000
Br 0.500 0.500 0.500

Computed properties:
Space-group type: P4/mmm (123)

=====

DFT (PBE-GGA) results for a geometry-optimized ZnCuO structure.

a b c (Å): 3.047 5.325 5.397
angles (deg): 61.72 73.62 73.40
Fractional coordinates of all 6 atoms:
Zn 0.152 0.268 0.430
Zn 0.848 0.732 0.570
Cu 0.373 0.326 0.931
Cu 0.627 0.674 0.069
O 0.395 0.905 0.302
O 0.605 0.095 0.698

Computed properties:
Space-group type: P-1 (2)

=====

DFT (PBE-GGA) results for a geometry-optimized Cs2KTe structure.

a b c (Å): 10.433 10.433 10.433
angles (deg): 96.05 96.05 142.10
Fractional coordinates of all 8 atoms:
Cs 0.375 0.213 0.338
Cs 0.787 0.125 0.162
Cs 0.875 0.037 0.662
Cs 0.963 0.625 0.838
K 0.250 0.750 0.500
K 0.500 0.500 0.000
Te 0.000 0.000 0.000
Te 0.750 0.250 0.500

Computed properties:
Space-group type: I-42d (122)

=====

DFT (PBE-GGA) results for a geometry-optimized KYAs2Pd4 structure.

a b c (Å): 4.105 4.105 10.806
angles (deg): 90.00 90.00 90.00
Fractional coordinates of all 8 atoms:
K 0.000 0.000 0.000
Y 0.000 0.000 0.500
As 0.500 0.500 0.181
As 0.500 0.500 0.819
Pd 0.000 0.500 0.307
Pd 0.000 0.500 0.693
Pd 0.500 0.000 0.307
Pd 0.500 0.000 0.693

Computed properties:
Energy of formation from the pure elements (kJ/mol of formula units): -416
Space-group type: P4/mmm (123)

=====

DFT (PBE-GGA) results for a geometry-optimized Ca2PbSe2 structure.

a b c (Å): 8.309 8.309 3.867
angles (deg): 90.00 90.00 90.00
Fractional coordinates of all 10 atoms:
Ca 0.156 0.344 0.000
Ca 0.344 0.844 0.000
Ca 0.656 0.156 0.000
Ca 0.844 0.656 0.000
Pb 0.000 0.000 0.500
Pb 0.500 0.500 0.500
Se 0.150 0.650 0.500
Se 0.350 0.150 0.500
Se 0.650 0.850 0.500
Se 0.850 0.350 0.500

Computed properties:
Space-group type: P4/mbm (127)

=====

DFT (PBE-GGA) results for a geometry-optimized SrBeHg structure.

a b c (Å): 4.985 4.985 4.985
angles (deg): 60.00 60.00 60.00
Fractional coordinates of all 3 atoms:
Sr 0.000 0.000 0.000
Be 0.500 0.500 0.500
Hg 0.250 0.250 0.250

Computed properties:
Energy of formation from the pure elements (kJ/mol of formula units): 100
Space-group type: F-43m (216)

=====

DFT (PBE-GGA) results for a geometry-optimized AlTl2Mo structure.

a b c (Å): 3.046 3.046 9.476
angles (deg): 90.00 90.00 102.90
Fractional coordinates of all 4 atoms:
Al 0.000 0.000 0.000
Tl 0.500 0.500 0.262
Tl 0.500 0.500 0.738
Mo 0.000 0.000 0.500

Computed properties:
Energy of formation from the pure elements (kJ/mol of formula units): 261
Space-group type: Cmmm (65)

=====

DFT (PBE-GGA) results for a geometry-optimized TbDyZnOs structure.

a b c (Å): 4.918 4.918 4.918
angles (deg): 60.00 60.00 60.00
Fractional coordinates of all 4 atoms:
Tb 0.000 0.000 0.000
Dy 0.500 0.500 0.500
Zn 0.750 0.750 0.750
Os 0.250 0.250 0.250

Computed properties:
Energy of formation from the pure elements (kJ/mol of formula units): -104
Space-group type: F-43m (216)

=====

DFT (PBE-GGA) results for a geometry-optimized Re7Ag structure.

a b c (Å): 5.555 5.555 5.555
angles (deg): 60.00 60.00 60.00
Fractional coordinates of all 8 atoms:
Re 0.000 0.000 0.000
Re 0.000 0.000 0.500
Re 0.000 0.500 0.000
Re 0.000 0.500 0.500
Re 0.500 0.000 0.000
Re 0.500 0.000 0.500
Re 0.500 0.500 0.000
Ag 0.500 0.500 0.500

Computed properties:
Energy of formation from the pure elements (kJ/mol of formula units): 270
Space-group type: Fm-3m (225)

=====

DFT (PBE-GGA) results for a geometry-optimized Sm4TlInH structure.

a b c (Å): 9.244 9.244 6.615
angles (deg): 90.00 90.00 138.13
Fractional coordinates of all 14 atoms:
Sm 0.000 0.500 0.000
Sm 0.000 0.500 0.500
Sm 0.071 0.929 0.750
Sm 0.429 0.571 0.750
Sm 0.500 0.000 0.000
Sm 0.500 0.000 0.500
Sm 0.571 0.429 0.250
Sm 0.929 0.071 0.250
Tl 0.113 0.887 0.250
Tl 0.887 0.113 0.750
In 0.386 0.614 0.250
In 0.614 0.386 0.750
H 0.291 0.709 0.750
H 0.709 0.291 0.250

Computed properties:
Space-group type: Cmcm (63)

=====

DFT (PBE-GGA) results for a geometry-optimized NaZn2CdIr structure.

a b c (Å): 4.853 4.853 5.225
angles (deg): 90.00 90.00 90.00
Fractional coordinates of all 5 atoms:
Na 0.000 0.000 0.000
Zn 0.000 0.500 0.500
Zn 0.500 0.000 0.500
Cd 0.500 0.500 0.000
Ir 0.500 0.500 0.500

Computed properties:
Energy of formation from the pure elements (kJ/mol of formula units): 4
Space-group type: P4/mmm (123)

=====

DFT (PBE-GGA) results for a geometry-optimized Er2NbCl structure.

a b c (Å): 10.565 10.565 10.565
angles (deg): 17.56 17.56 17.56
Fractional coordinates of all 4 atoms:
Er 0.094 0.094 0.094
Er 0.906 0.906 0.906
Nb 0.000 0.000 0.000
Cl 0.500 0.500 0.500

Computed properties:
Space-group type: R-3m (166)

=====

DFT (PBE-GGA) results for a geometry-optimized SrTeBr2 structure.

a b c (Å): 5.079 5.079 4.687
angles (deg): 90.00 90.00 90.00
Fractional coordinates of all 4 atoms:
Sr 0.000 0.000 0.000
Te 0.500 0.500 0.000
Br 0.000 0.500 0.500
Br 0.500 0.000 0.500

Computed properties:
Space-group type: P4/mmm (123)

=====

DFT (PBE-GGA) results for a geometry-optimized BaCd4 structure.

a b c (Å): 6.779 6.779 6.779
angles (deg): 109.47 109.47 109.47
Fractional coordinates of all 5 atoms:
Ba 0.000 0.000 0.000
Cd 0.000 0.000 0.500
Cd 0.000 0.500 0.000
Cd 0.500 0.000 0.000
Cd 0.500 0.500 0.500

Computed properties:
Energy of formation from the pure elements (kJ/mol of formula units): 159
Space-group type: Im-3m (229)

=====

DFT (PBE-GGA) results for a geometry-optimized BaCo2Si structure.

a b c (Å): 3.660 4.729 5.194
angles (deg): 90.00 90.00 90.00
Fractional coordinates of all 4 atoms:
Ba 0.000 0.000 0.000
Co 0.500 0.230 0.500
Co 0.500 0.770 0.500
Si 0.000 0.500 0.500

Computed properties:
Space-group type: Pmmm (47)

=====

DFT (PBE-GGA) results for a geometry-optimized NdGdDySn structure.

a b c (Å): 5.489 5.489 5.489
angles (deg): 60.00 60.00 60.00
Fractional coordinates of all 4 atoms:
Nd 0.000 0.000 0.000
Gd 0.500 0.500 0.500
Dy 0.250 0.250 0.250
Sn 0.750 0.750 0.750

Computed properties:
Energy of formation from the pure elements (kJ/mol of formula units): -103
Space-group type: F-43m (216)

=====

DFT (PBE-GGA) results for a geometry-optimized Th3Hg3C structure.

a b c (Å): 10.934 10.934 10.934
angles (deg): 34.31 34.31 34.31
Fractional coordinates of all 14 atoms:
Th 0.111 0.454 0.796
Th 0.204 0.889 0.546
Th 0.454 0.796 0.111
Th 0.546 0.204 0.889
Th 0.796 0.111 0.454
Th 0.889 0.546 0.204
Hg 0.039 0.701 0.370
Hg 0.299 0.630 0.961
Hg 0.370 0.039 0.701
Hg 0.630 0.961 0.299
Hg 0.701 0.370 0.039
Hg 0.961 0.299 0.630
C 0.167 0.167 0.167
C 0.833 0.833 0.833

Computed properties:
Energy of formation from the pure elements (kJ/mol of formula units): -133
Space-group type: R-3 (148)

=====

DFT (PBE-GGA) results for a geometry-optimized Sm6YIn structure.

a b c (Å): 4.979 4.979 10.240
angles (deg): 90.00 90.00 90.00
Fractional coordinates of all 8 atoms:
Sm 0.000 0.000 0.000
Sm 0.000 0.000 0.500
Sm 0.000 0.500 0.243
Sm 0.000 0.500 0.757
Sm 0.500 0.000 0.243
Sm 0.500 0.000 0.757
Y 0.500 0.500 0.500
In 0.500 0.500 0.000

Computed properties:
Energy of formation from the pure elements (kJ/mol of formula units): -91
Space-group type: P4/mmm (123)

=====

DFT (PBE-GGA) results for a geometry-optimized NpNi4As2 structure.

a b c (Å): 7.243 7.243 3.807
angles (deg): 90.00 90.00 90.00
Fractional coordinates of all 14 atoms:
Np 0.000 0.000 0.000
Np 0.500 0.500 0.500
Ni 0.092 0.349 0.500
Ni 0.151 0.592 0.000
Ni 0.349 0.092 0.500
Ni 0.408 0.849 0.000
Ni 0.592 0.151 0.000
Ni 0.651 0.908 0.500
Ni 0.849 0.408 0.000
Ni 0.908 0.651 0.500
As 0.216 0.784 0.500
As 0.284 0.284 0.000
As 0.716 0.716 0.000
As 0.784 0.216 0.500

Computed properties:
Energy of formation from the pure elements (kJ/mol of formula units): -275
Space-group type: P4_2/mnm (136)

=====

DFT (PBE-GGA) results for a geometry-optimized KTl2Hg4 structure.

a b c (Å): 8.076 8.076 5.388
angles (deg): 90.00 90.00 139.04
Fractional coordinates of all 7 atoms:
K 0.000 0.000 0.000
Tl 0.398 0.602 0.500
Tl 0.602 0.398 0.500
Hg 0.173 0.827 0.500
Hg 0.293 0.707 0.000
Hg 0.707 0.293 0.000
Hg 0.827 0.173 0.500

Computed properties:
Energy of formation from the pure elements (kJ/mol of formula units): -58
Space-group type: Cmmm (65)

=====

DFT (PBE-GGA) results for a geometry-optimized NaTl3Cu2Br9 structure.

a b c (Å): 7.290 7.290 10.024
angles (deg): 90.00 90.00 120.00
Fractional coordinates of all 15 atoms:
Na 0.000 0.000 0.000
Tl 0.000 0.000 0.500
Tl 0.333 0.667 0.227
Tl 0.667 0.333 0.773
Cu 0.333 0.667 0.660
Cu 0.667 0.333 0.340
Br 0.000 0.500 0.500
Br 0.167 0.334 0.793
Br 0.167 0.833 0.793
Br 0.334 0.167 0.207
Br 0.500 0.000 0.500
Br 0.500 0.500 0.500
Br 0.666 0.833 0.793
Br 0.833 0.167 0.207
Br 0.833 0.666 0.207

Computed properties:
Space-group type: P-3m1 (164)

=====

DFT (PBE-GGA) results for a geometry-optimized DyU2Ga9 structure.

a b c (Å): 4.260 4.260 12.822
angles (deg): 90.00 90.00 90.00
Fractional coordinates of all 12 atoms:
Dy 0.000 0.000 0.000
U 0.000 0.000 0.333
U 0.000 0.000 0.667
Ga 0.000 0.500 0.168
Ga 0.000 0.500 0.500
Ga 0.000 0.500 0.832
Ga 0.500 0.000 0.168
Ga 0.500 0.000 0.500
Ga 0.500 0.000 0.832
Ga 0.500 0.500 0.000
Ga 0.500 0.500 0.335
Ga 0.500 0.500 0.665

Computed properties:
Energy of formation from the pure elements (kJ/mol of formula units): -394
Space-group type: P4/mmm (123)

=====

DFT (PBE-GGA) results for a geometry-optimized V3Cr structure.

a b c (Å): 2.394 2.453 9.165
angles (deg): 90.00 90.00 90.00
Fractional coordinates of all 4 atoms:
V 0.000 0.000 0.000
V 0.000 0.500 0.268
V 0.500 0.500 0.760
Cr 0.500 0.000 0.504

Computed properties:
Energy of formation from the pure elements (kJ/mol of formula units): 140
Space-group type: Pmm2 (25)

=====

DFT (PBE-GGA) results for a geometry-optimized LaYI2 structure.

a b c (Å): 8.610 8.610 8.610
angles (deg): 130.85 130.85 72.05
Fractional coordinates of all 8 atoms:
La 0.000 0.000 0.000
La 0.750 0.250 0.500
Y 0.250 0.750 0.500
Y 0.500 0.500 0.000
I 0.147 0.625 0.022
I 0.375 0.397 0.522
I 0.603 0.125 0.978
I 0.875 0.853 0.478

Computed properties:
Space-group type: I-42d (122)

=====

DFT (PBE-GGA) results for a geometry-optimized CsInCoCl6 structure.

a b c (Å): 6.561 6.561 7.844
angles (deg): 90.20 90.20 120.02
Fractional coordinates of all 9 atoms:
Cs 0.000 0.000 0.000
In 0.666 0.334 0.500
Co 0.332 0.668 0.500
Cl 0.011 0.381 0.682
Cl 0.013 0.629 0.318
Cl 0.371 0.987 0.682
Cl 0.378 0.390 0.314
Cl 0.610 0.622 0.686
Cl 0.619 0.989 0.318

Computed properties:
Space-group type: C2 (5)

=====

no.,E (eV per formula unit),M_tot (μB/f.u.)
1,-15.7,1.1
2,-12.1,0.0
3,-8.5,0.0
4,-41.9,0.0
5,-20.9,0.0
6,-4.7,0.0
7,-16.6,0.0
8,-22.8,0.0
9,-87.2,0.0
10,-29.8,0.0
11,-13.6,0.0
12,-21.3,0.9
13,-12.1,0.0
14,-3.9,0.0
15,-21.1,0.0
16,-28.5,7.9
17,-33.8,0.0
18,-38.5,0.0
19,-48.2,3.5
20,-7.6,0.0
21,-40.5,0.0
22,-58.5,4.6
23,-35.5,0.0
24,-15.7,0.0
25,-32.1,3.0